No. 1
First-principles (GGA-PBE) data for an optimized crystal structure of BaBr3F, as listed in the Alexandria database.

Summary:
energy relative to the lowest polymorph listed for this composition: 257 meV per atom

Structure (CIF):
```
data_BaBr3F
_chemical_formula_sum 'Ba1 Br3 F1'
_cell_length_a 6.422
_cell_length_b 6.422
_cell_length_c 6.422
_cell_angle_alpha 90.00
_cell_angle_beta 90.00
_cell_angle_gamma 90.00
_symmetry_space_group_name_H-M 'P m -3 m'
_symmetry_Int_Tables_number 221
_symmetry_space_group_name_Hall '-P 4 2 3'
loop_
_atom_site_label
_atom_site_type_symbol
_atom_site_fract_x
_atom_site_fract_y
_atom_site_fract_z
Ba1 Ba 0.000 0.000 0.000
Br1 Br 0.000 0.000 0.500
F1 F 0.500 0.500 0.500
```

No. 2
First-principles (GGA-PBE) data for an optimized crystal structure of SiGeIN2, as listed in the Alexandria database.

Summary:
energy relative to the lowest polymorph listed for this composition: 0 meV per atom

Structure (CIF):
```
data_SiGeIN2
_chemical_formula_sum 'Si1 Ge1 I1 N2'
_cell_length_a 3.729
_cell_length_b 3.729
_cell_length_c 6.259
_cell_angle_alpha 90.00
_cell_angle_beta 90.00
_cell_angle_gamma 90.00
_symmetry_space_group_name_H-M 'P 4/m m m'
_symmetry_Int_Tables_number 123
_symmetry_space_group_name_Hall '-P 4 2'
loop_
_atom_site_label
_atom_site_type_symbol
_atom_site_fract_x
_atom_site_fract_y
_atom_site_fract_z
Si1 Si 0.000 0.000 0.000
Ge1 Ge 0.500 0.500 0.500
I1 I 0.000 0.000 0.500
N1 N 0.000 0.500 0.000
```

No. 3
First-principles (GGA-PBE) data for an optimized crystal structure of DyZnInCu, as listed in the Alexandria database.

Summary:
E_form: -0.316 eV/atom

Structure (CIF):
```
data_DyZnInCu
_chemical_formula_sum 'Dy4 Zn4 In4 Cu4'
_cell_length_a 6.731
_cell_length_b 6.731
_cell_length_c 6.731
_cell_angle_alpha 90.00
_cell_angle_beta 90.00
_cell_angle_gamma 90.00
_symmetry_space_group_name_H-M 'F -4 3 m'
_symmetry_Int_Tables_number 216
_symmetry_space_group_name_Hall 'F -4 2 3'
loop_
_atom_site_label
_atom_site_type_symbol
_atom_site_fract_x
_atom_site_fract_y
_atom_site_fract_z
Dy1 Dy 0.000 0.000 0.000
Zn1 Zn 0.250 0.250 0.250
In1 In 0.000 0.000 0.500
Cu1 Cu 0.250 0.250 0.750
```